DFT (PBE) results for PmHfPtRh after structural relaxation.

```
data_PmHfPtRh
_symmetry_space_group_name_H-M 'F -4 3 m'
_symmetry_Int_Tables_number 216
_symmetry_space_group_name_Hall 'F -4 2 3'
_cell_length_a 6.850
_cell_length_b 6.850
_cell_length_c 6.850
_cell_angle_alpha 90.00
_cell_angle_beta 90.00
_cell_angle_gamma 90.00
loop_
_atom_site_label
_atom_site_fract_x
_atom_site_fract_y
_atom_site_fract_z
Pm1 0.000 0.000 0.000
Hf1 0.000 0.000 0.500
Pt1 0.250 0.250 0.250
Rh1 0.250 0.250 0.750
```

Crystal system: cubic
ΔH_f (0 K) in eV/atom: -0.768
Final energy in eV per atom: -7.79
Magnetic moment in μB per formula unit: 0.0
Calculated volume in A^3/atom: 20.09

DFT (PBE) results for PmHfScPt2 after structural relaxation.

```
data_PmHfScPt2
_symmetry_space_group_name_H-M 'I -4 m 2'
_symmetry_Int_Tables_number 119
_symmetry_space_group_name_Hall 'I -4 -2'
_cell_length_a 4.547
_cell_length_b 4.547
_cell_length_c 10.962
_cell_angle_alpha 90.00
_cell_angle_beta 90.00
_cell_angle_gamma 90.00
loop_
_atom_site_label
_atom_site_fract_x
_atom_site_fract_y
_atom_site_fract_z
Pm1 0.000 0.000 0.000
Hf1 0.000 0.500 0.250
Sc1 0.000 0.500 0.750
Pt1 0.000 0.000 0.380
```

Crystal system: tetragonal
ΔH_f (0 K) in eV/atom: -0.972
Final energy in eV per atom: -7.59
Magnetic moment in μB per formula unit: 0.0
Calculated volume in A^3/atom: 22.66

magnetic moment of number 1 (PmHfPtRh)? 0.0 μB per formula unit